A plane-wave DFT calculation with GGA-PBE was carried out for crystalline LiHfS2 at its relaxed geometry.

abc: 3.5512 3.5512 6.8622
angles: 75.00 75.00 60.00
Fractional positions:
Li: 0.4986 0.4986 0.5043
Hf: 0.6670 0.6670 0.9990
S: 0.0802 0.0802 0.7594
S: 0.2542 0.2542 0.2373

Results
As for the total energy: -26.01 eV/cell. As for the size of the total moment: 0.000 μB per formula unit. The density comes out at 5.79 Mg/m³. As for the crystal system: trigonal.